! PBE-GGA CdIr2Cl, optimized geometry; values from VASP
! Final energy ... -0.1733 Ha/atom
! DOS at the Fermi energy ... 3.051 states/eV/cell
! Size of the total moment ... 0.000 μB/atom
&SYSTEM
  ibrav = 0, nat = 4, ntyp = 3
/
ATOMIC_SPECIES
Ir 192.22 Ir.upf
Cd 112.41 Cd.upf
Cl 35.45 Cl.upf
ATOMIC_POSITIONS crystal
Ir 0.500 0.500 0.223
Ir 0.000 0.000 0.002
Cd 0.000 0.000 0.476
Cl 0.500 0.500 0.799
CELL_PARAMETERS angstrom
-0.708 -0.901 2.666
2.596 -0.558 -1.170
3.554 8.523 3.825

***

! PBE-GGA CdIr2Cl, optimized geometry; values from VASP
! Final energy ... -0.1687 Ha/atom
! DOS at the Fermi energy ... 3.919 states/eV/cell
! Size of the total moment ... 0.000 μB/atom
&SYSTEM
  ibrav = 0, nat = 4, ntyp = 3
/
ATOMIC_SPECIES
Ir 192.22 Ir.upf
Cl 35.45 Cl.upf
Cd 112.41 Cd.upf
ATOMIC_POSITIONS crystal
Ir 0.013 0.013 0.000
Ir 0.487 0.487 0.000
Cl 0.250 0.750 0.500
Cd 0.750 0.250 0.500
CELL_PARAMETERS angstrom
5.511 0.001 0.000
2.526 4.898 0.000
-3.247 -3.715 2.455

***

Distance to the lowest polymorph of the same formula (computed, eV/atom): 0.2098 0.3355